*i*
{"formula": "PPd2PtI", "functional": "GGA-PBE", "state": "optimized geometry", "lattice_angstrom": [[4.9576, 0.0000, 0.0000], [0.0000, 4.9576, 0.0000], [0.0000, 0.0000, 5.0183]], "species": ["P", "Pd", "Pd", "Pt", "I"], "fractional_positions": [[0.0000, 0.0000, 0.0000], [0.0000, 0.5000, 0.5000], [0.5000, 0.0000, 0.5000], [0.5000, 0.5000, 0.0000], [0.5000, 0.5000, 0.5000]]}

***

*ii*
{"formula": "PPd2PtI", "functional": "GGA-PBE", "state": "optimized geometry", "lattice_angstrom": [[4.4048, 0.0000, 0.0000], [0.0000, 4.4048, 0.0000], [0.0000, 0.0000, 5.5182]], "species": ["P", "Pd", "Pd", "Pt", "I"], "fractional_positions": [[0.0000, 0.0000, 0.0000], [0.0000, 0.5000, 0.0000], [0.5000, 0.0000, 0.0000], [0.5000, 0.5000, 0.5000], [0.0000, 0.0000, 0.5000]]}

***

Stability check: which of them is least stable? *i*.

***

*i*
{"formula": "SbPPdI2", "functional": "GGA-PBE", "state": "optimized geometry", "lattice_angstrom": [[5.4179, 0.0000, 0.0000], [0.0000, 5.4179, 0.0000], [0.0000, 0.0000, 5.3089]], "species": ["Sb", "P", "Pd", "I", "I"], "fractional_positions": [[0.0000, 0.0000, 0.0000], [0.5000, 0.5000, 0.0000], [0.0000, 0.0000, 0.5000], [0.0000, 0.5000, 0.5000], [0.5000, 0.0000, 0.5000]]}

***

*ii*
{"formula": "SbPPdI2", "functional": "GGA-PBE", "state": "optimized geometry", "lattice_angstrom": [[5.3495, 0.0000, 0.0000], [0.0000, 5.3495, 0.0000], [0.0000, 0.0000, 5.3491]], "species": ["Sb", "P", "Pd", "I", "I"], "fractional_positions": [[0.0000, 0.0000, 0.0000], [0.0000, 0.0000, 0.5000], [0.5000, 0.5000, 0.0000], [0.0000, 0.5000, 0.5000], [0.5000, 0.0000, 0.5000]]}

***

Stability check: which of them is least stable? *ii*.

***

*i*
{"formula": "Te2PPdI", "functional": "GGA-PBE", "state": "optimized geometry", "lattice_angstrom": [[5.2592, 0.0000, 0.0000], [0.0000, 5.2592, 0.0000], [0.0000, 0.0000, 5.3330]], "species": ["Te", "Te", "P", "Pd", "I"], "fractional_positions": [[0.0000, 0.5000, 0.0000], [0.5000, 0.0000, 0.0000], [0.0000, 0.0000, 0.5000], [0.5000, 0.5000, 0.0000], [0.5000, 0.5000, 0.5000]]}

***

*ii*
{"formula": "Te2PPdI", "functional": "GGA-PBE", "state": "optimized geometry", "lattice_angstrom": [[5.2722, 0.0000, 0.0000], [0.0000, 5.2722, 0.0000], [0.0000, 0.0000, 5.2703]], "species": ["Te", "Te", "P", "Pd", "I"], "fractional_positions": [[0.0000, 0.5000, 0.0000], [0.5000, 0.0000, 0.0000], [0.0000, 0.0000, 0.0000], [0.5000, 0.5000, 0.5000], [0.0000, 0.0000, 0.5000]]}

***

Stability check: which of them is least stable? *ii*.

***

*i*
{"formula": "Pm2PI2", "functional": "GGA-PBE", "state": "optimized geometry", "lattice_angstrom": [[2.0212, -7.4452, 0.0000], [2.0212, 7.4452, 0.0000], [0.0000, 0.0000, 11.1722]], "species": ["Pm", "Pm", "Pm", "Pm", "P", "P", "I", "I", "I", "I"], "fractional_positions": [[0.0145, 0.9855, 0.5000], [0.2174, 0.7826, 0.6917], [0.7826, 0.2174, 0.1917], [0.9855, 0.0145, 0.0000], [0.3774, 0.6226, 0.0799], [0.6226, 0.3774, 0.5799], [0.1090, 0.8910, 0.2390], [0.3424, 0.6576, 0.4247], [0.6576, 0.3424, 0.9247], [0.8910, 0.1090, 0.7390]]}

***

*ii*
{"formula": "Pm2PI2", "functional": "GGA-PBE", "state": "optimized geometry", "lattice_angstrom": [[2.1069, 1.2164, 11.5391], [-2.1069, 1.2164, 11.5391], [0.0000, -2.4328, 11.5391]], "species": ["Pm", "Pm", "P", "I", "I"], "fractional_positions": [[0.1220, 0.1220, 0.1220], [0.8780, 0.8780, 0.8780], [0.5000, 0.5000, 0.5000], [0.2720, 0.2720, 0.2720], [0.7280, 0.7280, 0.7280]]}

***

Stability check: which of them is least stable? *i*.

***

*i*
{"formula": "Pr3PI3", "functional": "GGA-PBE", "state": "optimized geometry", "lattice_angstrom": [[9.2005, 0.0000, 0.0000], [0.0000, 4.2789, 0.0000], [-0.0866, 0.0000, 12.5133]], "species": ["Pr", "Pr", "Pr", "Pr", "Pr", "Pr", "P", "P", "I", "I", "I", "I", "I", "I"], "fractional_positions": [[0.0903, 0.2500, 0.3887], [0.1196, 0.2500, 0.8411], [0.3213, 0.7500, 0.6240], [0.6787, 0.2500, 0.3760], [0.8804, 0.7500, 0.1589], [0.9097, 0.7500, 0.6113], [0.1175, 0.2500, 0.6164], [0.8825, 0.7500, 0.3836], [0.1406, 0.2500, 0.1203], [0.3750, 0.7500, 0.8774], [0.3830, 0.7500, 0.3656], [0.6170, 0.2500, 0.6344], [0.6250, 0.2500, 0.1226], [0.8594, 0.7500, 0.8797]]}

***

*ii*
{"formula": "Pr3PI3", "functional": "GGA-PBE", "state": "optimized geometry", "lattice_angstrom": [[5.5161, -6.4968, 0.0000], [5.5161, 6.4968, 0.0000], [-4.4782, 0.0000, 8.0236]], "species": ["Pr", "Pr", "Pr", "Pr", "Pr", "Pr", "P", "P", "I", "I", "I", "I", "I", "I"], "fractional_positions": [[0.0550, 0.0550, 0.3176], [0.1733, 0.5138, 0.6997], [0.4862, 0.8267, 0.3003], [0.5138, 0.1733, 0.6997], [0.8267, 0.4862, 0.3003], [0.9450, 0.9450, 0.6824], [0.1855, 0.1855, 0.6619], [0.8145, 0.8145, 0.3381], [0.1599, 0.8401, 0.0000], [0.2632, 0.7368, 0.5000], [0.4118, 0.4118, 0.1733], [0.5882, 0.5882, 0.8267], [0.7368, 0.2632, 0.5000], [0.8401, 0.1599, 0.0000]]}

***

Stability check: which of them is least stable? *ii*.

***

*i*
{"formula": "PPtI3", "functional": "GGA-PBE", "state": "optimized geometry", "lattice_angstrom": [[5.4912, 0.0000, 0.0000], [0.0000, 5.4912, 0.0000], [0.0000, 0.0000, 5.4912]], "species": ["P", "Pt", "I", "I", "I"], "fractional_positions": [[0.0000, 0.0000, 0.0000], [0.5000, 0.5000, 0.5000], [0.0000, 0.5000, 0.5000], [0.5000, 0.0000, 0.5000], [0.5000, 0.5000, 0.0000]]}

***

*ii*
{"formula": "PPtI3", "functional": "GGA-PBE", "state": "optimized geometry", "lattice_angstrom": [[5.4053, 0.0000, 0.0000], [0.0000, 5.4053, 0.0000], [0.0000, 0.0000, 5.4053]], "species": ["P", "Pt", "I", "I", "I"], "fractional_positions": [[0.0000, 0.0000, 0.0000], [0.5000, 0.5000, 0.5000], [0.0000, 0.0000, 0.5000], [0.0000, 0.5000, 0.0000], [0.5000, 0.0000, 0.0000]]}

***

Stability check: which of them is least stable? *ii*.

***

*i*
{"formula": "PPtS2I", "functional": "GGA-PBE", "state": "optimized geometry", "lattice_angstrom": [[4.9356, 0.0000, 0.0000], [0.0000, 4.9356, 0.0000], [0.0000, 0.0000, 5.2388]], "species": ["P", "Pt", "S", "S", "I"], "fractional_positions": [[0.0000, 0.0000, 0.0000], [0.5000, 0.5000, 0.0000], [0.0000, 0.5000, 0.5000], [0.5000, 0.0000, 0.5000], [0.0000, 0.0000, 0.5000]]}

***

*ii*
{"formula": "PPtS2I", "functional": "GGA-PBE", "state": "optimized geometry", "lattice_angstrom": [[4.8837, 0.0000, 0.0000], [0.0000, 4.8837, 0.0000], [0.0000, 0.0000, 4.5855]], "species": ["P", "Pt", "S", "S", "I"], "fractional_positions": [[0.0000, 0.0000, 0.0000], [0.0000, 0.0000, 0.5000], [0.0000, 0.5000, 0.5000], [0.5000, 0.0000, 0.5000], [0.5000, 0.5000, 0.0000]]}

***

Stability check: which of them is least stable? *i*.

***

*i*
{"formula": "TePPtI2", "functional": "GGA-PBE", "state": "optimized geometry", "lattice_angstrom": [[5.2503, 0.0000, 0.0000], [0.0000, 5.2503, 0.0000], [0.0000, 0.0000, 5.3939]], "species": ["Te", "P", "Pt", "I", "I"], "fractional_positions": [[0.0000, 0.0000, 0.0000], [0.0000, 0.0000, 0.5000], [0.5000, 0.5000, 0.0000], [0.0000, 0.5000, 0.5000], [0.5000, 0.0000, 0.5000]]}

***

*ii*
{"formula": "TePPtI2", "functional": "GGA-PBE", "state": "optimized geometry", "lattice_angstrom": [[5.4898, 0.0000, 0.0000], [0.0000, 5.4898, 0.0000], [0.0000, 0.0000, 5.3098]], "species": ["Te", "P", "Pt", "I", "I"], "fractional_positions": [[0.0000, 0.0000, 0.0000], [0.5000, 0.5000, 0.0000], [0.0000, 0.0000, 0.5000], [0.0000, 0.5000, 0.5000], [0.5000, 0.0000, 0.5000]]}

***

Stability check: which of them is least stable? *i*.

***

*i*
{"formula": "RbP3I", "functional": "GGA-PBE", "state": "optimized geometry", "lattice_angstrom": [[6.7431, 0.0000, 0.0000], [0.0000, 6.7431, 0.0000], [0.0000, 0.0000, 6.7431]], "species": ["Rb", "P", "P", "P", "I"], "fractional_positions": [[0.0000, 0.0000, 0.0000], [0.0000, 0.0000, 0.5000], [0.0000, 0.5000, 0.0000], [0.5000, 0.0000, 0.0000], [0.5000, 0.5000, 0.5000]]}

***

*ii*
{"formula": "RbP3I", "functional": "GGA-PBE", "state": "optimized geometry", "lattice_angstrom": [[5.3411, 0.0000, 0.0000], [0.0000, 5.3411, 0.0000], [0.0000, 0.0000, 5.3411]], "species": ["Rb", "P", "P", "P", "I"], "fractional_positions": [[0.0000, 0.0000, 0.0000], [0.0000, 0.5000, 0.5000], [0.5000, 0.0000, 0.5000], [0.5000, 0.5000, 0.0000], [0.5000, 0.5000, 0.5000]]}

***

Stability check: which of them is least stable? *i*.

***

*i*
{"formula": "Rb3PI6", "functional": "GGA-PBE", "state": "optimized geometry", "lattice_angstrom": [[8.5486, 0.0000, 0.0000], [0.0000, 9.0912, 0.0000], [-8.2355, 0.0000, 12.1227]], "species": ["Rb", "Rb", "Rb", "Rb", "Rb", "Rb", "P", "P", "I", "I", "I", "I", "I", "I", "I", "I", "I", "I", "I", "I"], "fractional_positions": [[0.0000, 0.0000, 0.0000], [0.0000, 0.5000, 0.5000], [0.2151, 0.0775, 0.7446], [0.2151, 0.4225, 0.2446], [0.7849, 0.5775, 0.7554], [0.7849, 0.9225, 0.2554], [0.5000, 0.0000, 0.5000], [0.5000, 0.5000, 0.0000], [0.1842, 0.1689, 0.4521], [0.1842, 0.3311, 0.9521], [0.2769, 0.7409, 0.4324], [0.2769, 0.7591, 0.9324], [0.4006, 0.0443, 0.2835], [0.4006, 0.4557, 0.7835], [0.5994, 0.5443, 0.2165], [0.5994, 0.9557, 0.7165], [0.7231, 0.2409, 0.0676], [0.7231, 0.2591, 0.5676], [0.8158, 0.6689, 0.0479], [0.8158, 0.8311, 0.5479]]}

***

*ii*
{"formula": "Rb3PI6", "functional": "GGA-PBE", "state": "optimized geometry", "lattice_angstrom": [[0.0000, 6.2554, 6.2554], [6.2554, 0.0000, 6.2554], [6.2554, 6.2554, 0.0000]], "species": ["Rb", "Rb", "Rb", "P", "I", "I", "I", "I", "I", "I"], "fractional_positions": [[0.0000, 0.0000, 0.0000], [0.2500, 0.2500, 0.2500], [0.7500, 0.7500, 0.7500], [0.5000, 0.5000, 0.5000], [0.2765, 0.2765, 0.7235], [0.2765, 0.7235, 0.2765], [0.2765, 0.7235, 0.7235], [0.7235, 0.2765, 0.2765], [0.7235, 0.2765, 0.7235], [0.7235, 0.7235, 0.2765]]}

***

Stability check: which of them is least stable? *ii*.

***

*i*
{"formula": "RbPS2I", "functional": "GGA-PBE", "state": "optimized geometry", "lattice_angstrom": [[6.5471, 0.0000, 0.0000], [0.0000, 6.5471, 0.0000], [0.0000, 0.0000, 6.6892]], "species": ["Rb", "P", "S", "S", "I"], "fractional_positions": [[0.0000, 0.0000, 0.0000], [0.0000, 0.0000, 0.5000], [0.0000, 0.5000, 0.0000], [0.5000, 0.0000, 0.0000], [0.5000, 0.5000, 0.5000]]}

***

*ii*
{"formula": "RbPS2I", "functional": "GGA-PBE", "state": "optimized geometry", "lattice_angstrom": [[5.3205, 0.0000, 0.0000], [0.0000, 5.3205, 0.0000], [0.0000, 0.0000, 5.3969]], "species": ["Rb", "P", "S", "S", "I"], "fractional_positions": [[0.0000, 0.0000, 0.0000], [0.5000, 0.5000, 0.0000], [0.0000, 0.5000, 0.5000], [0.5000, 0.0000, 0.5000], [0.5000, 0.5000, 0.5000]]}

***

Stability check: which of them is least stable? *i*.

***

*i*
{"formula": "RbSb2PI", "functional": "GGA-PBE", "state": "optimized geometry", "lattice_angstrom": [[8.4462, 0.0000, 0.0000], [0.0000, 8.4462, 0.0000], [0.0000, 0.0000, 6.8320]], "species": ["Rb", "Sb", "Sb", "P", "I"], "fractional_positions": [[0.0000, 0.0000, 0.0000], [0.0000, 0.5000, 0.0000], [0.5000, 0.0000, 0.0000], [0.5000, 0.5000, 0.5000], [0.0000, 0.0000, 0.5000]]}

***

*ii*
{"formula": "RbSb2PI", "functional": "GGA-PBE", "state": "optimized geometry", "lattice_angstrom": [[5.1492, 0.0000, 0.0000], [0.0000, 5.1492, 0.0000], [0.0000, 0.0000, 9.2049]], "species": ["Rb", "Sb", "Sb", "P", "I"], "fractional_positions": [[0.0000, 0.0000, 0.0000], [0.0000, 0.5000, 0.5000], [0.5000, 0.0000, 0.5000], [0.5000, 0.5000, 0.5000], [0.5000, 0.5000, 0.0000]]}

***

Stability check: which of them is least stable? *i*.